! Sc2ReRu2, relaxed, DFT PBE-GGA; values from VASP
&SYSTEM
  ibrav = 0, nat = 10, ntyp = 3
/
ATOMIC_SPECIES
Sc 44.96 Sc.upf
Re 186.21 Re.upf
Ru 101.07 Ru.upf
CELL_PARAMETERS angstrom
-5.973 2.164 -1.153
-0.639 -4.305 -4.769
-1.580 -2.869 2.801
ATOMIC_POSITIONS angstrom
Sc -2.293 -3.970 -2.044
Sc -5.370 -3.499 -3.298
Sc -5.899 -1.040 -1.077
Sc -2.822 -1.510 0.177
Re 0.000 0.000 0.000
Re -3.306 -1.070 -2.961
Ru -2.698 -2.923 -4.515
Ru -5.544 -0.895 -4.044
Ru -3.913 0.782 -1.407
Ru -1.067 -1.245 -1.877
! spin magnetization = 0.0 μB/cell
! ΔH_f (0 K) = -100 kJ/mol of formula units
! space group = P4/mbm
! energy = -89.40 eV/cell